VASP calculation (GGA-PBE) on a geometry-optimized BaIn2NiSn structure.

Results
Magnetization: 0.000 μB/atom
E_form: -0.265 eV/atom
N(E_F): 0.698 states/eV per atom
Crystal system: tetragonal
Space group: P4/mmm (123)

a b c (Å): 5.1124 5.1124 5.2138
angles (deg): 90.00 90.00 90.00
With the nearest neighbours (Å) after each atom.
Fractional coordinates of all 5 atoms:
1 Ni 0.0000 0.0000 0.0000  4 In 2.56, 2 Sn 2.61
2 In 0.0000 0.5000 0.0000  2 Ni 2.56
3 In 0.5000 0.0000 0.0000  2 Ni 2.56
4 Ba 0.5000 0.5000 0.5000  4 Sn 3.62, 8 In 3.65
5 Sn 0.0000 0.0000 0.5000  2 Ni 2.61



VASP calculation (GGA-PBE) on a geometry-optimized Ba2InNiSn structure.

Results
Magnetization: 0.000 μB/atom
E_form: -0.282 eV/atom
N(E_F): 0.625 states/eV per atom
Crystal system: tetragonal
Space group: P4/mmm (123)

a b c (Å): 6.0462 6.0462 4.8666
angles (deg): 90.00 90.00 90.00
With the nearest neighbours (Å) after each atom.
Fractional coordinates of all 5 atoms:
1 Ni 0.0000 0.0000 0.0000  2 Sn 2.43
2 In 0.5000 0.5000 0.5000  8 Ba 3.88, 4 Sn 4.28
3 Ba 0.0000 0.5000 0.0000  2 Ni 3.02
4 Ba 0.5000 0.0000 0.0000  2 Ni 3.02
5 Sn 0.0000 0.0000 0.5000  2 Ni 2.43



VASP calculation (GGA-PBE) on a geometry-optimized BaSrIn2Ni structure.

Results
Magnetization: 0.000 μB/atom
E_form: -0.220 eV/atom
N(E_F): 0.715 states/eV per atom
Excess energy over the best structure of this formula in the dataset: 0 meV per atom
Crystal system: tetragonal
Space group: P4/mmm (123)

a b c (Å): 5.2174 5.2174 5.5200
angles (deg): 90.00 90.00 90.00
With the nearest neighbours (Å) after each atom.
Fractional coordinates of all 5 atoms:
1 Sr 0.0000 0.0000 0.5000  2 Ni 2.76
2 Ni 0.0000 0.0000 0.0000  4 In 2.61, 2 Sr 2.76
3 Ba 0.5000 0.5000 0.5000  4 Sr 3.69, 8 In 3.80
4 In 0.0000 0.5000 0.0000  2 Ni 2.61
5 In 0.5000 0.0000 0.0000  2 Ni 2.61



VASP calculation (GGA-PBE) on a geometry-optimized BaSr2InNi structure.

Results
Magnetization: 0.000 μB/atom
E_form: -0.056 eV/atom
N(E_F): 0.913 states/eV per atom
Excess energy over the best structure of this formula in the dataset: 54 meV per atom
Crystal system: tetragonal
Space group: P4/mmm (123)

a b c (Å): 5.7733 5.7733 5.8785
angles (deg): 90.00 90.00 90.00
With the nearest neighbours (Å) after each atom.
Fractional coordinates of all 5 atoms:
1 Sr 0.0000 0.5000 0.0000  2 Ni 2.89
2 Sr 0.5000 0.0000 0.0000  2 Ni 2.89
3 Ni 0.0000 0.0000 0.0000  4 Sr 2.89, 2 Ba 2.94
4 Ba 0.0000 0.0000 0.5000  2 Ni 2.94
5 In 0.5000 0.5000 0.5000  4 Ba 4.08, 8 Sr 4.12



VASP calculation (GGA-PBE) on a geometry-optimized BaSr2InNi structure.

Results
Magnetization: 0.000 μB/atom
E_form: -0.109 eV/atom
N(E_F): 0.800 states/eV per atom
Excess energy over the best structure of this formula in the dataset: 0 meV per atom
Crystal system: tetragonal
Space group: P4/mmm (123)

a b c (Å): 5.8298 5.8298 5.2407
angles (deg): 90.00 90.00 90.00
With the nearest neighbours (Å) after each atom.
Fractional coordinates of all 5 atoms:
1 Sr 0.0000 0.5000 0.0000  2 Ni 2.91
2 Sr 0.5000 0.0000 0.0000  2 Ni 2.91
3 Ni 0.0000 0.0000 0.0000  2 In 2.62, 4 Sr 2.91
4 Ba 0.5000 0.5000 0.5000  8 Sr 3.92, 4 In 4.12
5 In 0.0000 0.0000 0.5000  2 Ni 2.62



VASP calculation (GGA-PBE) on a geometry-optimized BaSrIn2Ni structure.

Results
Magnetization: 0.000 μB/atom
E_form: -0.149 eV/atom
N(E_F): 0.882 states/eV per atom
Excess energy over the best structure of this formula in the dataset: 71 meV per atom
Crystal system: tetragonal
Space group: P4/mmm (123)

a b c (Å): 5.2622 5.2622 5.5731
angles (deg): 90.00 90.00 90.00
With the nearest neighbours (Å) after each atom.
Fractional coordinates of all 5 atoms:
1 Sr 0.5000 0.5000 0.5000  4 Ba 3.72, 8 In 3.83
2 Ni 0.0000 0.0000 0.0000  4 In 2.63, 2 Ba 2.79
3 Ba 0.0000 0.0000 0.5000  2 Ni 2.79
4 In 0.0000 0.5000 0.0000  2 Ni 2.63
5 In 0.5000 0.0000 0.0000  2 Ni 2.63